# 1
# YCdSe2

An optimized crystal structure of YCdSe2 (GGA-PBEsol, the Alexandria database).

The structure in POSCAR format:
```
YCdSe2
1.0
4.028 0.000 0.000
0.000 4.028 0.000
0.000 0.000 5.813
Y Cd Se
1 1 2
direct
0.000 0.000 0.000 Y
0.500 0.500 0.500 Cd
0.000 0.000 0.500 Se
0.500 0.500 0.000 Se
```

Output
formation energy (no corrections) = -1.17 eV per atom
total magnetic moment = 0.00 μB per formula unit
space-group type = P4/mmm, No. 123

=====

# 2
# HgP2

An optimized crystal structure of HgP2 (GGA-PBEsol, the Alexandria database).

The structure in POSCAR format:
```
HgP2
1.0
7.686 0.000 0.000
0.000 3.269 0.000
-1.025 0.000 4.780
Hg P
2 4
direct
0.000 0.000 0.000 Hg
0.500 0.500 0.000 Hg
0.219 0.500 0.635 P
0.281 0.000 0.365 P
0.719 0.000 0.635 P
0.781 0.500 0.365 P
```

Output
total magnetic moment = 0.00 μB per formula unit
raw total energy = -11.954 eV per formula unit
space-group type = C2/m, No. 12

=====

# 3
# ZrScRu2

An optimized crystal structure of ZrScRu2 (GGA-PBEsol, the Alexandria database).

The structure in POSCAR format:
```
ZrScRu2
1.0
4.518 0.000 0.000
0.000 4.518 0.000
0.000 0.000 3.196
Zr Sc Ru
1 1 2
direct
0.000 0.000 0.000 Zr
0.500 0.500 0.000 Sc
0.000 0.500 0.500 Ru
0.500 0.000 0.500 Ru
```

Output
total magnetic moment = 0.00 μB per formula unit
raw total energy = -38.494 eV per formula unit
space-group type = P4/mmm, No. 123

=====

# 4
# NaSc2Ag

An optimized crystal structure of NaSc2Ag (GGA-PBEsol, the Alexandria database).

The structure in POSCAR format:
```
NaSc2Ag
1.0
3.146 0.000 0.000
-1.573 2.724 0.000
0.000 0.000 33.068
Na Sc Ag
3 6 3
direct
0.000 0.000 0.000 Na
0.333 0.667 0.667 Na
0.667 0.333 0.333 Na
0.000 0.000 0.097 Sc
0.000 0.000 0.903 Sc
0.333 0.667 0.569 Sc
0.333 0.667 0.764 Sc
0.667 0.333 0.236 Sc
0.667 0.333 0.431 Sc
0.000 0.000 0.500 Ag
0.333 0.667 0.167 Ag
0.667 0.333 0.833 Ag
```

Output
total magnetic moment = 0.00 μB per formula unit
raw total energy = -17.061 eV per formula unit
space-group type = R-3m, No. 166

=====

# 5
# Al3HOs

An optimized crystal structure of Al3HOs (GGA-PBEsol, the Alexandria database).

The structure in POSCAR format:
```
Al3HOs
1.0
4.713 0.000 0.000
0.000 4.713 0.000
0.000 0.000 4.713
Al H Os
3 1 1
direct
0.000 0.000 0.500 Al
0.000 0.500 0.000 Al
0.500 0.000 0.000 Al
0.500 0.500 0.500 H
0.000 0.000 0.000 Os
```

Output
total magnetic moment = 0.86 μB per formula unit
raw total energy = -25.208 eV per formula unit
space-group type = Pm-3m, No. 221

=====

# 6
# CdSeN2O

An optimized crystal structure of CdSeN2O (GGA-PBEsol, the Alexandria database).

The structure in POSCAR format:
```
CdSeN2O
1.0
3.988 0.000 0.000
0.000 3.988 0.000
0.000 0.000 3.953
Cd Se N O
1 1 2 1
direct
0.000 0.000 0.000 Cd
0.500 0.500 0.000 Se
0.000 0.500 0.500 N
0.500 0.000 0.500 N
0.500 0.500 0.500 O
```

Output
formation energy (no corrections) = 1.76 eV per atom
total magnetic moment = 2.15 μB per formula unit
space-group type = P4/mmm, No. 123

=====

# 7
# Mn2NiHg

An optimized crystal structure of Mn2NiHg (GGA-PBEsol, the Alexandria database).

The structure in POSCAR format:
```
Mn2NiHg
1.0
3.884 0.000 0.000
0.000 3.884 0.000
0.000 0.000 7.507
Mn Ni Hg
4 2 2
direct
0.000 0.500 0.250 Mn
0.000 0.500 0.750 Mn
0.500 0.000 0.250 Mn
0.500 0.000 0.750 Mn
0.000 0.000 0.000 Ni
0.500 0.500 0.500 Ni
0.000 0.000 0.500 Hg
0.500 0.500 0.000 Hg
```

Output
total magnetic moment = 7.62 μB per formula unit
raw total energy = -24.932 eV per formula unit
space-group type = I4/mmm, No. 139

=====

# 8
# KLaCr

An optimized crystal structure of KLaCr (GGA-PBEsol, the Alexandria database).

The structure in POSCAR format:
```
KLaCr
1.0
3.642 0.000 0.000
0.000 3.642 0.000
0.000 0.000 15.776
K La Cr
2 2 2
direct
0.000 0.000 0.000 K
0.500 0.500 0.500 K
0.000 0.000 0.731 La
0.500 0.500 0.231 La
0.000 0.000 0.337 Cr
0.500 0.500 0.837 Cr
```

Output
total magnetic moment = 4.03 μB per formula unit
raw total energy = -14.222 eV per formula unit
space-group type = I4mm, No. 107

=====

# 9
# CdMoOs2

An optimized crystal structure of CdMoOs2 (GGA-PBEsol, the Alexandria database).

The structure in POSCAR format:
```
CdMoOs2
1.0
2.801 0.000 0.000
0.000 2.801 0.000
0.000 0.000 7.894
Cd Mo Os
1 1 2
direct
0.000 0.000 0.000 Cd
0.000 0.000 0.500 Mo
0.500 0.500 0.270 Os
0.500 0.500 0.730 Os
```

Output
total magnetic moment = 0.00 μB per formula unit
raw total energy = -36.011 eV per formula unit
space-group type = P4/mmm, No. 123

=====

# 10
# Mg2HgPt2

An optimized crystal structure of Mg2HgPt2 (GGA-PBEsol, the Alexandria database).

The structure in POSCAR format:
```
Mg2HgPt2
1.0
7.606 0.000 0.000
0.000 7.606 0.000
0.000 0.000 2.960
Mg Hg Pt
4 2 4
direct
0.158 0.342 0.000 Mg
0.342 0.842 0.000 Mg
0.658 0.158 0.000 Mg
0.842 0.658 0.000 Mg
0.000 0.000 0.500 Hg
0.500 0.500 0.500 Hg
0.137 0.637 0.500 Pt
0.363 0.137 0.500 Pt
0.637 0.863 0.500 Pt
0.863 0.363 0.500 Pt
```

Output
total magnetic moment = 0.00 μB per formula unit
raw total energy = -20.813 eV per formula unit
space-group type = P4/mbm, No. 127

=====

# 11
# MgAl2Pb

An optimized crystal structure of MgAl2Pb (GGA-PBEsol, the Alexandria database).

The structure in POSCAR format:
```
MgAl2Pb
1.0
3.187 0.000 0.000
-1.593 2.760 0.000
0.000 0.000 30.037
Mg Al Pb
3 6 3
direct
0.000 0.000 0.000 Mg
0.333 0.667 0.667 Mg
0.667 0.333 0.333 Mg
0.000 0.000 0.255 Al
0.000 0.000 0.745 Al
0.333 0.667 0.411 Al
0.333 0.667 0.922 Al
0.667 0.333 0.078 Al
0.667 0.333 0.589 Al
0.000 0.000 0.500 Pb
0.333 0.667 0.167 Pb
0.667 0.333 0.833 Pb
```

Output
total magnetic moment = 0.00 μB per formula unit
raw total energy = -13.129 eV per formula unit
space-group type = R-3m, No. 166

=====

# 12
# GaFeSb2Pb

An optimized crystal structure of GaFeSb2Pb (GGA-PBEsol, the Alexandria database).

The structure in POSCAR format:
```
GaFeSb2Pb
1.0
4.990 0.000 0.000
0.000 4.990 0.000
0.000 0.000 4.555
Ga Fe Sb Pb
1 1 2 1
direct
0.000 0.000 0.000 Ga
0.000 0.000 0.500 Fe
0.000 0.500 0.500 Sb
0.500 0.000 0.500 Sb
0.500 0.500 0.000 Pb
```

Output
formation energy (no corrections) = 0.19 eV per atom
total magnetic moment = 0.00 μB per formula unit
space-group type = P4/mmm, No. 123

=====

# 13
# Nd2AgRu

An optimized crystal structure of Nd2AgRu (GGA-PBEsol, the Alexandria database).

The structure in POSCAR format:
```
Nd2AgRu
1.0
7.115 0.000 0.000
0.000 7.115 0.000
0.000 0.000 7.115
Nd Ag Ru
8 4 4
direct
0.250 0.250 0.250 Nd
0.250 0.250 0.750 Nd
0.250 0.750 0.250 Nd
0.250 0.750 0.750 Nd
0.750 0.250 0.250 Nd
0.750 0.250 0.750 Nd
0.750 0.750 0.250 Nd
0.750 0.750 0.750 Nd
0.000 0.000 0.000 Ag
0.000 0.500 0.500 Ag
0.500 0.000 0.500 Ag
0.500 0.500 0.000 Ag
0.000 0.000 0.500 Ru
0.000 0.500 0.000 Ru
0.500 0.000 0.000 Ru
0.500 0.500 0.500 Ru
```

Output
total magnetic moment = 0.00 μB per formula unit
raw total energy = -24.432 eV per formula unit
space-group type = Fm-3m, No. 225

=====

# 14
# LiLa2Hg

An optimized crystal structure of LiLa2Hg (GGA-PBEsol, the Alexandria database).

The structure in POSCAR format:
```
LiLa2Hg
1.0
3.589 0.000 0.000
-1.794 3.108 0.000
0.000 0.000 31.992
Li La Hg
3 6 3
direct
0.000 0.000 0.000 Li
0.333 0.667 0.667 Li
0.667 0.333 0.333 Li
0.000 0.000 0.245 La
0.000 0.000 0.755 La
0.333 0.667 0.422 La
0.333 0.667 0.912 La
0.667 0.333 0.088 La
0.667 0.333 0.578 La
0.000 0.000 0.500 Hg
0.333 0.667 0.167 Hg
0.667 0.333 0.833 Hg
```

Output
total magnetic moment = 0.00 μB per formula unit
raw total energy = -13.502 eV per formula unit
space-group type = R-3m, No. 166

=====

# 15
# InSbTeN2

An optimized crystal structure of InSbTeN2 (GGA-PBEsol, the Alexandria database).

The structure in POSCAR format:
```
InSbTeN2
1.0
4.314 0.000 0.000
0.000 4.314 0.000
0.000 0.000 5.820
In Sb Te N
1 1 1 2
direct
0.000 0.000 0.000 In
0.500 0.500 0.500 Sb
0.000 0.000 0.500 Te
0.000 0.500 0.000 N
0.500 0.000 0.000 N
```

Output
formation energy (no corrections) = 1.39 eV per atom
total magnetic moment = 2.23 μB per formula unit
space-group type = P4/mmm, No. 123

=====

# 16
# YBeRe2Mo

An optimized crystal structure of YBeRe2Mo (GGA-PBEsol, the Alexandria database).

The structure in POSCAR format:
```
YBeRe2Mo
1.0
4.699 0.000 0.000
0.000 4.699 0.000
0.000 0.000 4.678
Y Be Re Mo
1 1 2 1
direct
0.000 0.000 0.000 Y
0.500 0.500 0.500 Be
0.000 0.500 0.000 Re
0.500 0.000 0.000 Re
0.000 0.000 0.500 Mo
```

Output
total magnetic moment = 0.00 μB per formula unit
raw total energy = -33.226 eV per formula unit
space-group type = P4/mmm, No. 123

=====

# 17
# FeSnS2

An optimized crystal structure of FeSnS2 (GGA-PBEsol, the Alexandria database).

The structure in POSCAR format:
```
FeSnS2
1.0
3.817 0.000 0.000
-1.909 3.306 0.000
0.000 0.000 21.957
Fe Sn S
3 3 6
direct
0.000 0.000 0.000 Fe
0.333 0.667 0.667 Fe
0.667 0.333 0.333 Fe
0.000 0.000 0.500 Sn
0.333 0.667 0.167 Sn
0.667 0.333 0.833 Sn
0.000 0.000 0.097 S
0.000 0.000 0.903 S
0.333 0.667 0.570 S
0.333 0.667 0.763 S
0.667 0.333 0.237 S
0.667 0.333 0.430 S
```

Output
formation energy (no corrections) = 0.11 eV per atom
total magnetic moment = 2.93 μB per formula unit
space-group type = R-3m, No. 166

=====

# 18
# FeOsRu2

An optimized crystal structure of FeOsRu2 (GGA-PBEsol, the Alexandria database).

The structure in POSCAR format:
```
FeOsRu2
1.0
4.427 0.000 0.000
0.000 4.427 0.000
0.000 0.000 2.736
Fe Os Ru
1 1 2
direct
0.000 0.000 0.000 Fe
0.500 0.500 0.000 Os
0.000 0.500 0.500 Ru
0.500 0.000 0.500 Ru
```

Output
total magnetic moment = 3.51 μB per formula unit
raw total energy = -39.651 eV per formula unit
space-group type = P4/mmm, No. 123

=====

# 19
# Tc2WF

An optimized crystal structure of Tc2WF (GGA-PBEsol, the Alexandria database).

The structure in POSCAR format:
```
Tc2WF
1.0
6.032 0.000 0.000
0.000 6.032 0.000
0.000 0.000 6.032
Tc W F
8 4 4
direct
0.250 0.250 0.250 Tc
0.250 0.250 0.750 Tc
0.250 0.750 0.250 Tc
0.250 0.750 0.750 Tc
0.750 0.250 0.250 Tc
0.750 0.250 0.750 Tc
0.750 0.750 0.250 Tc
0.750 0.750 0.750 Tc
0.000 0.000 0.000 W
0.000 0.500 0.500 W
0.500 0.000 0.500 W
0.500 0.500 0.000 W
0.000 0.000 0.500 F
0.000 0.500 0.000 F
0.500 0.000 0.000 F
0.500 0.500 0.500 F
```

Output
formation energy (no corrections) = 0.40 eV per atom
total magnetic moment = 0.00 μB per formula unit
space-group type = Fm-3m, No. 225

=====

# 20
# IrPtCl2

An optimized crystal structure of IrPtCl2 (GGA-PBEsol, the Alexandria database).

The structure in POSCAR format:
```
IrPtCl2
1.0
10.569 0.000 0.000
0.000 3.345 0.000
-1.041 0.000 4.440
Ir Pt Cl
2 2 4
direct
0.000 0.000 0.000 Ir
0.500 0.500 0.000 Ir
0.000 0.500 0.500 Pt
0.500 0.000 0.500 Pt
0.149 0.500 0.208 Cl
0.351 0.000 0.792 Cl
0.649 0.000 0.208 Cl
0.851 0.500 0.792 Cl
```

Output
formation energy (no corrections) = 0.38 eV per atom
total magnetic moment = 0.00 μB per formula unit
energy relative to the lowest polymorph listed for this composition = 351.8 meV per atom
space-group type = C2/m, No. 12